An optimized crystal structure of FeRu2Pt. Source: Alexandria, functional GGA-PBE.

a = 8.9484 Å, b = 8.9484 Å, c = 8.9484 Å
α = 17.37°, β = 17.37°, γ = 17.37°
With the nearest neighbours (Å) after each atom.
Element x y z (fractional)
Ru  0.5054  0.5054  0.5054  3 Fe 2.58, 6 Ru 2.70, 3 Pt 2.82
Ru  0.9946  0.9946  0.9946  3 Fe 2.58, 6 Ru 2.70, 3 Pt 2.82
Pt  0.7500  0.7500  0.7500  6 Pt 2.70, 6 Ru 2.82
Fe  0.2500  0.2500  0.2500  6 Ru 2.58, 6 Fe 2.70

Computed properties:
* electronic total energy: -32.629 eV per cell

***

An optimized crystal structure of Li4GaAg3. Source: Alexandria, functional GGA-PBE.

a = 3.2261 Å, b = 3.2261 Å, c = 12.1037 Å
α = 90.00°, β = 90.00°, γ = 90.00°
With the nearest neighbours (Å) after each atom.
Element x y z (fractional)
Ag  0.5000  0.5000  0.5000  8 Li 2.74, 2 Ag 3.04
Ga  0.5000  0.5000  0.0000  8 Li 2.75, 2 Ag 3.01
Ag  0.5000  0.5000  0.2485  8 Li 2.72-2.74, 1 Ga 3.01
Li  0.0000  0.0000  0.8735  4 Ag 2.72, 4 Ga 2.75, 1 Li 3.00
Ag  0.5000  0.5000  0.7515  8 Li 2.72-2.74, 1 Ga 3.01
Li  0.0000  0.0000  0.3742  8 Ag 2.74, 2 Li 3.00-3.05
Li  0.0000  0.0000  0.1265  4 Ag 2.72, 4 Ga 2.75, 1 Li 3.00
Li  0.0000  0.0000  0.6258  8 Ag 2.74, 2 Li 3.00-3.05

Computed properties:
* electronic total energy: -21.099 eV per cell

***

An optimized crystal structure of Sm6DyTl. Source: Alexandria, functional GGA-PBE.

a = 4.9734 Å, b = 4.9734 Å, c = 10.2590 Å
α = 90.00°, β = 90.00°, γ = 90.00°
With the nearest neighbours (Å) after each atom.
Element x y z (fractional)
Sm  0.0000  0.5000  0.7447  8 Sm 3.52-3.61, 2 Tl 3.53, 2 Dy 3.61
Sm  0.5000  0.0000  0.2553  8 Sm 3.52-3.61, 2 Tl 3.53, 2 Dy 3.61
Tl  0.0000  0.0000  0.5000  12 Sm 3.52-3.53
Sm  0.5000  0.5000  0.5000  4 Tl 3.52, 8 Sm 3.53
Sm  0.0000  0.5000  0.2553  8 Sm 3.52-3.61, 2 Tl 3.53, 2 Dy 3.61
Dy  0.0000  0.0000  0.0000  12 Sm 3.52-3.61
Sm  0.5000  0.0000  0.7447  8 Sm 3.52-3.61, 2 Tl 3.53, 2 Dy 3.61
Sm  0.5000  0.5000  0.0000  4 Dy 3.52, 8 Sm 3.61

Computed properties:
* electronic total energy: -35.937 eV per cell

***

Energy of formation: 0.107; -0.233; -0.082 (eV/atom)